VASP calculation (GGA-PBE) on crystalline Cd5Pt3 at its relaxed geometry.

Output
D(E_F): 9.54 states/eV/cell
Formation energy from the elements: -223 meV per atom
Volume: 19.51 A^3/atom
ΔE to the lowest computed polymorph: 0.0364 eV/atom
Magnetic moment: 0.0 μB per formula unit

abc: 8.139 8.139 5.439
angles: 90.00 90.00 120.00
Fractional positions:
1 Cd 0.000 0.251 0.250
2 Cd 0.000 0.749 0.750
3 Cd 0.251 0.000 0.250
4 Cd 0.251 0.251 0.750
5 Cd 0.333 0.667 0.000
6 Cd 0.333 0.667 0.500
7 Cd 0.667 0.333 0.000
8 Cd 0.667 0.333 0.500
9 Cd 0.749 0.000 0.750
10 Cd 0.749 0.749 0.250
11 Pt 0.000 0.390 0.750
12 Pt 0.000 0.610 0.250
13 Pt 0.390 0.000 0.750
14 Pt 0.390 0.390 0.250
15 Pt 0.610 0.000 0.250
16 Pt 0.610 0.610 0.750